[1]
PmSmEuIn: relaxed, PBE.

Lattice parameters (Å, degrees): 5.6204 5.6204 5.6204 60.00 60.00 60.00
Last column: nearest neighbours and their distance in Å.
Fractional coordinates of all 4 atoms:
Eu 0.0000 0.0000 0.0000  4 Pm 3.44, 4 In 3.44
In 0.2500 0.2500 0.2500  4 Eu 3.44, 4 Sm 3.44
Sm 0.5000 0.5000 0.5000  4 In 3.44, 4 Pm 3.44
Pm 0.7500 0.7500 0.7500  4 Eu 3.44, 4 Sm 3.44

Results
D(E_F)   5.71 states/eV per cell
E   -5.7115 eV per atom
Energy of formation   -0.4 eV per formula unit

[2]
Ti5In2Pb: relaxed, PBE.

Lattice parameters (Å, degrees): 7.2819 7.2819 7.8037 117.81 117.81 90.00
Last column: nearest neighbours and their distance in Å.
Fractional coordinates of all 16 atoms:
Pb 0.7500 0.7500 0.5000  10 Ti 2.93-2.95
Pb 0.2500 0.2500 0.5000  10 Ti 2.93-2.95
Ti 0.4853 0.6864 0.6718  3 In 2.85-2.89, 4 Ti 2.89-3.08, 2 Pb 2.95
Ti 0.5000 0.5000 0.0000  4 In 2.79, 2 Pb 2.93
Ti 0.9853 0.4853 0.6718  3 In 2.85-2.89, 4 Ti 2.89-3.08, 2 Pb 2.95
Ti 0.8136 0.0147 0.3282  3 In 2.85-2.89, 4 Ti 2.89-3.08, 2 Pb 2.95
Ti 0.0147 0.5147 0.3282  3 In 2.85-2.89, 4 Ti 2.89-3.08, 2 Pb 2.95
Ti 0.3136 0.8136 0.3282  3 In 2.85-2.89, 4 Ti 2.89-3.08, 2 Pb 2.95
Ti 0.0000 0.0000 0.0000  4 In 2.79, 2 Pb 2.93
Ti 0.1864 0.9853 0.6718  3 In 2.85-2.89, 4 Ti 2.89-3.08, 2 Pb 2.95
Ti 0.6864 0.1864 0.6718  3 In 2.85-2.89, 4 Ti 2.89-3.08, 2 Pb 2.95
Ti 0.5147 0.3136 0.3282  3 In 2.85-2.89, 4 Ti 2.89-3.08, 2 Pb 2.95
In 0.3533 0.8533 0.0000  8 Ti 2.79-2.89, 1 In 3.02
In 0.8533 0.6467 0.0000  8 Ti 2.79-2.89, 1 In 3.02
In 0.1467 0.3533 0.0000  8 Ti 2.79-2.89, 1 In 3.02
In 0.6467 0.1467 0.0000  8 Ti 2.79-2.89, 1 In 3.02

Results
D(E_F)   24.06 states/eV per cell
E   -6.0924 eV per atom
ΔE to the lowest computed polymorph   88 meV/atom
Energy of formation   -0.1 eV per formula unit

[3]
SnBiAu: relaxed, PBE.

Lattice parameters (Å, degrees): 3.4838 3.4838 6.8162 104.81 104.81 90.00
Last column: nearest neighbours and their distance in Å.
Fractional coordinates of all 3 atoms:
Bi 0.0179 0.0179 0.0359  4 Au 3.17, 4 Bi 3.48
Sn 0.3077 0.3077 0.6153  4 Au 2.99
Au 0.6744 0.6744 0.3488  4 Sn 2.99, 4 Bi 3.17

Results
D(E_F)   1.52 states/eV per cell
E   -3.7251 eV per atom
ΔE to the lowest computed polymorph   72 meV/atom
Energy of formation   0.0 eV per formula unit

[4]
B5C7: relaxed, PBE.

Lattice parameters (Å, degrees): 4.5506 4.5506 5.4327 104.56 104.56 48.40
Last column: nearest neighbours and their distance in Å.
Fractional coordinates of all 12 atoms:
B 0.9168 0.4165 0.5833  4 C 1.64-1.74
B 0.9507 0.0468 0.0431  3 C 1.59-1.63
B 0.2866 0.3826 0.1236  3 C 1.59-1.63
B 0.3058 0.6934 0.6998  3 C 1.57-1.60
B 0.6399 0.0275 0.4669  3 C 1.57-1.60
C 0.6501 0.6754 0.3163  2 C 1.52-1.55, 1 B 1.58
C 0.2622 0.7496 0.2603  2 C 1.52-1.55, 2 B 1.59-1.63
C 0.0124 0.9915 0.4878  1 C 1.55, 3 B 1.57-1.64
C 0.6580 0.6832 0.8504  2 C 1.52-1.55, 1 B 1.58
C 0.5838 0.0711 0.9064  2 C 1.52-1.55, 2 B 1.59-1.63
C 0.3419 0.3210 0.6788  1 C 1.55, 3 B 1.57-1.64
C 0.8918 0.4415 0.0833  2 C 1.55, 2 B 1.59

Results
D(E_F)   2.38 states/eV per cell
E   -7.8698 eV per atom
ΔE to the lowest computed polymorph   35 meV/atom
Energy of formation   3.5 eV per formula unit

[5]
Pr3Cd2Hg3: relaxed, PBE.

Lattice parameters (Å, degrees): 4.8542 6.2625 15.8691 90.00 90.00 112.80
Last column: nearest neighbours and their distance in Å.
Fractional coordinates of all 16 atoms:
Cd 0.7902 0.5805 0.8979  4 Hg 2.84-3.12
Cd 0.2098 0.4195 0.3979  4 Hg 2.84-3.12
Cd 0.2098 0.4195 0.1021  4 Hg 2.84-3.12
Cd 0.7902 0.5805 0.6021  4 Hg 2.84-3.12
Pr 0.0887 0.1774 0.8948  4 Cd 3.36-3.57, 7 Hg 3.39-3.61
Pr 0.6383 0.2766 0.2500  3 Hg 3.17-3.28, 4 Cd 3.48
Pr 0.9113 0.8226 0.3948  4 Cd 3.36-3.57, 7 Hg 3.39-3.61
Pr 0.3617 0.7234 0.7500  3 Hg 3.17-3.28, 4 Cd 3.48
Pr 0.0887 0.1774 0.6052  4 Cd 3.36-3.57, 7 Hg 3.39-3.61
Pr 0.9113 0.8226 0.1052  4 Cd 3.36-3.57, 7 Hg 3.39-3.61
Hg 0.6365 0.2729 0.7500  2 Cd 2.94, 1 Pr 3.17
Hg 0.3900 0.7800 0.9555  3 Cd 2.84-3.12, 1 Hg 2.91
Hg 0.3635 0.7271 0.2500  2 Cd 2.94, 1 Pr 3.17
Hg 0.6100 0.2200 0.4555  3 Cd 2.84-3.12, 1 Hg 2.91
Hg 0.6100 0.2200 0.0445  3 Cd 2.84-3.12, 1 Hg 2.91
Hg 0.3900 0.7800 0.5445  3 Cd 2.84-3.12, 1 Hg 2.91

Results
D(E_F)   17.44 states/eV per cell
E   -2.5024 eV per atom
ΔE to the lowest computed polymorph   0 meV/atom
Energy of formation   -2.9 eV per formula unit

[6]
ErPa2Fe: relaxed, PBE.

Lattice parameters (Å, degrees): 3.5695 3.5695 8.9264 78.47 78.47 60.00
Last column: nearest neighbours and their distance in Å.
Fractional coordinates of all 4 atoms:
Pa 0.7274 0.7274 0.8179  3 Fe 2.60
Pa 0.2726 0.2726 0.1821  3 Fe 2.60
Fe 0.0000 0.0000 0.0000  6 Pa 2.60
Er 0.5000 0.5000 0.5000  6 Pa 3.45, 6 Er 3.57

Results
D(E_F)   6.03 states/eV per cell
E   -7.9687 eV per atom
ΔE to the lowest computed polymorph   0 meV/atom
Energy of formation   0.1 eV per formula unit

[7]
K2LaBe: relaxed, PBE.

Lattice parameters (Å, degrees): 4.6285 4.6285 11.3126 83.69 83.69 50.41
Last column: nearest neighbours and their distance in Å.
Fractional coordinates of all 4 atoms:
K 0.9654 0.9654 0.0872  3 Be 3.39-3.43
K 0.7572 0.7572 0.7206  2 K 3.94, 1 La 4.23
La 0.5359 0.5359 0.4043  3 Be 2.83-2.93
Be 0.2415 0.2415 0.2878  3 La 2.83-2.93

Results
D(E_F)   4.21 states/eV per cell
E   -2.1742 eV per atom
Energy of formation   2.2 eV per formula unit

[8]
AgOsW2: relaxed, PBE.

Lattice parameters (Å, degrees): 4.4868 4.4868 4.4868 60.00 60.00 60.00
Last column: nearest neighbours and their distance in Å.
Fractional coordinates of all 4 atoms:
Os 0.2500 0.2500 0.2500  4 W 2.75, 4 Ag 2.75
W 0.0000 0.0000 0.0000  4 W 2.75, 4 Os 2.75
W 0.7500 0.7500 0.7500  4 W 2.75, 4 Ag 2.75
Ag 0.5000 0.5000 0.5000  4 W 2.75, 4 Os 2.75

Results
D(E_F)   2.49 states/eV per cell
E   -9.3622 eV per atom
ΔE to the lowest computed polymorph   273 meV/atom
Energy of formation   2.5 eV per formula unit